Here is a relaxed structure of AcNdCd4 from Alexandria. Energies are from PBE. Values from VASP.

Results
Symmetry: No. 216
Total energy, eV/atom: -2.393
Offset from the most stable computed form, meV per atom: 25.2

```
&SYSTEM
  ibrav = 0, nat = 6, ntyp = 3
/
ATOMIC_SPECIES
Ac 227.00 Ac.upf
Nd 144.24 Nd.upf
Cd 112.41 Cd.upf
CELL_PARAMETERS angstrom
-5.193 -0.781 3.136
-5.171 -1.406 -2.948
-2.420 -5.589 0.566
ATOMIC_POSITIONS crystal
Ac 0.000 0.000 0.000
Nd 0.250 0.250 0.250
Cd 0.624 0.624 0.127
Cd 0.624 0.127 0.624
Cd 0.624 0.624 0.624
Cd 0.127 0.624 0.624
```



Here is a relaxed structure of Nd3Sm6TmTh2 from Alexandria. Energies are from PBE. Values from VASP.

Results
Symmetry: No. 12
Total energy, eV/atom: -5.133

```
&SYSTEM
  ibrav = 0, nat = 12, ntyp = 4
/
ATOMIC_SPECIES
Nd 144.24 Nd.upf
Sm 150.36 Sm.upf
Tm 168.93 Tm.upf
Th 232.04 Th.upf
CELL_PARAMETERS angstrom
-5.719 2.543 -0.157
0.657 -6.154 0.940
2.184 3.043 11.441
ATOMIC_POSITIONS crystal
Nd 0.167 0.833 0.500
Nd 0.833 0.167 0.500
Nd 0.500 0.500 0.500
Sm 0.919 0.583 0.756
Sm 0.745 0.745 0.244
Sm 0.081 0.417 0.244
Sm 0.583 0.919 0.756
Sm 0.255 0.255 0.756
Sm 0.417 0.081 0.244
Tm 0.000 0.000 0.000
Th 0.333 0.667 0.000
Th 0.667 0.333 0.000
```



Here is a relaxed structure of SrIn4Cl6 from Alexandria. Energies are from PBE. Values from VASP.

Results
Symmetry: No. 187
Formation energy from raw total energies, meV per atom: -1161
Total energy, eV/atom: -3.317

```
&SYSTEM
  ibrav = 0, nat = 11, ntyp = 3
/
ATOMIC_SPECIES
Sr 87.62 Sr.upf
In 114.82 In.upf
Cl 35.45 Cl.upf
CELL_PARAMETERS angstrom
4.216 0.000 0.000
0.000 8.543 -4.933
0.000 0.000 9.865
ATOMIC_POSITIONS crystal
Sr 0.000 0.000 0.000
In 0.500 0.431 0.215
In 0.500 0.785 0.215
In 0.000 0.333 0.667
In 0.500 0.785 0.569
Cl 0.500 0.758 0.879
Cl 0.500 0.121 0.242
Cl 0.000 0.514 0.028
Cl 0.000 0.514 0.486
Cl 0.000 0.972 0.486
Cl 0.500 0.121 0.879
```



Here is a relaxed structure of USbN from Alexandria. Energies are from PBE. Values from VASP.

Results
Symmetry: No. 107
Formation energy from raw total energies, meV per atom: -596
Total energy, eV/atom: -8.508
Offset from the most stable computed form, meV per atom: 394.3

```
&SYSTEM
  ibrav = 0, nat = 3, ntyp = 3
/
ATOMIC_SPECIES
Sb 121.76 Sb.upf
U 238.03 U.upf
N 14.01 N.upf
CELL_PARAMETERS angstrom
3.150 0.000 0.000
0.000 3.150 0.000
-1.575 -1.575 6.164
ATOMIC_POSITIONS crystal
Sb 0.001 0.001 0.002
U 0.727 0.727 0.455
N 0.272 0.272 0.543
```



Here is a relaxed structure of Pm2Co17 from Alexandria. Energies are from PBE. Values from VASP.

Results
Symmetry: No. 166
Total energy, eV/atom: -6.923

```
&SYSTEM
  ibrav = 0, nat = 19, ntyp = 2
/
ATOMIC_SPECIES
Pm 145.00 Pm.upf
Co 58.93 Co.upf
CELL_PARAMETERS angstrom
6.302 -0.069 -0.061
0.825 6.248 -0.061
0.825 0.715 6.207
ATOMIC_POSITIONS crystal
Pm 0.345 0.345 0.345
Pm 0.655 0.655 0.655
Co 0.656 0.656 0.149
Co 0.149 0.656 0.656
Co 0.904 0.904 0.904
Co 0.096 0.096 0.096
Co 0.000 0.000 0.500
Co 0.000 0.500 0.000
Co 0.500 0.000 0.000
Co 0.286 0.714 0.000
Co 0.714 0.000 0.286
Co 0.000 0.286 0.714
Co 0.714 0.286 0.000
Co 0.286 0.000 0.714
Co 0.000 0.714 0.286
Co 0.851 0.344 0.344
Co 0.344 0.344 0.851
Co 0.344 0.851 0.344
Co 0.656 0.149 0.656
```



Here is a relaxed structure of MoPb5 from Alexandria. Energies are from PBE. Values from VASP.

Results
Symmetry: No. 8
Total energy, eV/atom: -4.526
Offset from the most stable computed form, meV per atom: 11.6

```
&SYSTEM
  ibrav = 0, nat = 6, ntyp = 2
/
ATOMIC_SPECIES
Mo 95.94 Mo.upf
Pb 207.20 Pb.upf
CELL_PARAMETERS angstrom
5.808 -4.192 -1.541
6.831 -2.453 1.000
-0.611 -6.302 4.559
ATOMIC_POSITIONS crystal
Mo 0.027 0.027 0.982
Pb 0.659 0.659 0.665
Pb 0.365 0.365 0.248
Pb 0.401 0.401 0.797
Pb 0.029 0.029 0.403
Pb 0.687 0.687 0.073
```



Here is a relaxed structure of TiSb3C from Alexandria. Energies are from PBE. Values from VASP.

Results
Symmetry: No. 221
Formation energy from raw total energies, meV per atom: 917
Total energy, eV/atom: -4.980
Offset from the most stable computed form, meV per atom: 0.0

```
&SYSTEM
  ibrav = 0, nat = 5, ntyp = 3
/
ATOMIC_SPECIES
Sb 121.76 Sb.upf
C 12.01 C.upf
Ti 47.87 Ti.upf
CELL_PARAMETERS angstrom
-4.503 -1.267 -0.504
1.030 -4.300 1.609
-0.894 1.430 4.392
ATOMIC_POSITIONS crystal
Sb 0.000 0.500 0.000
Sb 0.000 0.000 0.500
Sb 0.500 0.000 0.000
C 0.000 0.000 0.000
Ti 0.500 0.500 0.500
```



Here is a relaxed structure of AlAg3 from Alexandria. Energies are from PBE. Values from VASP.

Results
Symmetry: No. 139
Total energy, eV/atom: -3.115

```
&SYSTEM
  ibrav = 0, nat = 8, ntyp = 2
/
ATOMIC_SPECIES
Ag 107.87 Ag.upf
Al 26.98 Al.upf
CELL_PARAMETERS angstrom
-2.462 0.414 3.239
4.015 -7.600 1.440
2.564 2.757 1.596
ATOMIC_POSITIONS crystal
Ag 0.000 0.000 0.000
Ag 0.626 0.252 0.126
Ag 0.250 0.500 0.250
Ag 0.874 0.748 0.374
Ag 0.500 0.000 0.500
Ag 0.750 0.500 0.750
Al 0.123 0.246 0.623
Al 0.377 0.754 0.877
```